1.
# BaMg2Pt (PBE, optimized geometry)
# D(E_F), states/eV/atom: 1.055
# ΔH_f (0 K), eV per atom: -0.15
# Total DFT energy (no corrections), eV per atom: -2.935
data_BaMg2Pt
_chemical_formula_sum 'Ba4 Mg8 Pt4'
_cell_length_a 7.2978
_cell_length_b 7.2978
_cell_length_c 7.2978
_cell_angle_alpha 90.00
_cell_angle_beta 90.00
_cell_angle_gamma 90.00
_symmetry_space_group_name_H-M 'F m -3 m'
_symmetry_Int_Tables_number 225
_symmetry_space_group_name_Hall '-F 4 2 3'
loop_
_atom_site_label
_atom_site_type_symbol
_atom_site_fract_x
_atom_site_fract_y
_atom_site_fract_z
_atom_site_occupancy
Ba1 Ba 0.0000 0.0000 0.0000 1
Mg1 Mg 0.2500 0.2500 0.2500 1
Pt1 Pt 0.0000 0.0000 0.5000 1


2.
# TlCuS2Cl (PBE, optimized geometry)
# D(E_F), states/eV/atom: 1.551
# ΔE_f (raw), meV per atom: 719
# Total DFT energy (no corrections), eV per atom: -2.593
# Energy above the most stable polymorph in this dataset, eV per atom: 0.703
data_TlCuS2Cl
_chemical_formula_sum 'Tl1 Cu1 S2 Cl1'
_cell_length_a 5.1078
_cell_length_b 5.1078
_cell_length_c 5.3600
_cell_angle_alpha 90.00
_cell_angle_beta 90.00
_cell_angle_gamma 90.00
_symmetry_space_group_name_H-M 'P 4/m m m'
_symmetry_Int_Tables_number 123
_symmetry_space_group_name_Hall '-P 4 2'
loop_
_atom_site_label
_atom_site_type_symbol
_atom_site_fract_x
_atom_site_fract_y
_atom_site_fract_z
_atom_site_occupancy
Tl1 Tl 0.0000 0.0000 0.0000 1
Cu1 Cu 0.5000 0.5000 0.5000 1
S1 S 0.0000 0.5000 0.0000 1
Cl1 Cl 0.0000 0.0000 0.5000 1